[1]
Crystalline NiAsPC at its relaxed geometry, computed with PBE-GGA.

a = 3.236 Å, b = 3.236 Å, c = 18.252 Å
α = 90.00°, β = 90.00°, γ = 120.00°
Fractional positions:
Ni (0.333, 0.667, 0.576)
P (0.000, 0.000, 0.299)
P (0.667, 0.333, 0.632)
C (0.000, 0.000, 0.398)
As (0.667, 0.333, 0.115)
As (0.000, 0.000, 0.781)
C (0.333, 0.667, 0.065)
P (0.333, 0.667, 0.966)
C (0.667, 0.333, 0.732)
Ni (0.667, 0.333, 0.243)
Ni (0.000, 0.000, 0.910)
As (0.333, 0.667, 0.448)

Values from the calculation:
- DFT formation energy (meV per atom) = 231
- calculated volume (Å³ per atom) = 13.80


[2]
Crystalline NiAsPC at its relaxed geometry, computed with PBE-GGA.

a = 3.002 Å, b = 3.122 Å, c = 12.074 Å
α = 90.00°, β = 90.00°, γ = 90.00°
Fractional positions:
C (0.000, 0.500, 0.931)
C (0.000, 0.000, 0.431)
As (0.500, 0.500, 0.838)
P (0.000, 0.500, 0.075)
P (0.000, 0.000, 0.575)
Ni (0.500, 0.500, 0.641)
As (0.500, 0.000, 0.338)
Ni (0.500, 0.000, 0.141)

Values from the calculation:
- DFT formation energy (meV per atom) = 297
- calculated volume (Å³ per atom) = 14.15


[3]
Crystalline NiAsPC at its relaxed geometry, computed with PBE-GGA.

a = 3.719 Å, b = 2.875 Å, c = 11.351 Å
α = 90.00°, β = 102.61°, γ = 90.00°
Fractional positions:
As (0.659, 0.000, 0.837)
Ni (0.081, 0.500, 0.202)
P (0.688, 0.500, 0.568)
Ni (0.081, 0.000, 0.702)
As (0.659, 0.500, 0.337)
C (0.498, 0.500, 0.122)
C (0.498, 0.000, 0.622)
P (0.688, 0.000, 0.068)

Values from the calculation:
- DFT formation energy (meV per atom) = 338
- calculated volume (Å³ per atom) = 14.80


[4]
Crystalline NiAsPPtC at its relaxed geometry, computed with PBE-GGA.

a = 3.654 Å, b = 4.108 Å, c = 5.803 Å
α = 82.33°, β = 90.05°, γ = 63.59°
Fractional positions:
Pt (0.717, 0.889, 0.338)
P (0.268, 0.786, 0.084)
Ni (0.514, 0.294, 0.931)
C (0.062, 0.197, 0.871)
As (0.049, 0.226, 0.533)

Values from the calculation:
- DFT formation energy (meV per atom) = 146
- calculated volume (Å³ per atom) = 15.43


[5]
Crystalline NiAsPPtC at its relaxed geometry, computed with PBE-GGA.

a = 6.580 Å, b = 3.637 Å, c = 6.399 Å
α = 90.00°, β = 110.51°, γ = 90.00°
Fractional positions:
C (0.823, 0.500, 0.417)
C (0.823, 0.000, 0.917)
P (0.549, 0.000, 0.728)
Pt (0.353, 0.000, 0.310)
Ni (0.793, 0.000, 0.546)
Ni (0.793, 0.500, 0.046)
Pt (0.353, 0.500, 0.810)
As (0.114, 0.000, 0.890)
As (0.114, 0.500, 0.390)
P (0.549, 0.500, 0.228)

Values from the calculation:
- DFT formation energy (meV per atom) = 212
- calculated volume (Å³ per atom) = 14.34


[6]
Crystalline NiAsPPtC at its relaxed geometry, computed with PBE-GGA.

a = 3.524 Å, b = 3.518 Å, c = 6.700 Å
α = 103.08°, β = 97.72°, γ = 108.05°
Fractional positions:
Pt (0.760, 0.150, 0.739)
P (0.189, 0.839, 0.858)
Ni (0.953, 0.386, 0.169)
As (0.651, 0.859, 0.342)
C (0.299, 0.007, 0.134)

Values from the calculation:
- DFT formation energy (meV per atom) = 191
- calculated volume (Å³ per atom) = 15.00


[7]
Crystalline NiAsPPtC at its relaxed geometry, computed with PBE-GGA.

a = 3.318 Å, b = 3.696 Å, c = 6.446 Å
α = 73.68°, β = 84.60°, γ = 80.10°
Fractional positions:
Ni (0.713, 0.416, 0.825)
As (0.350, 0.043, 0.664)
C (0.869, 0.872, 0.864)
Pt (0.312, 0.142, 0.249)
P (0.906, 0.767, 0.155)

Values from the calculation:
- DFT formation energy (meV per atom) = 203
- calculated volume (Å³ per atom) = 14.93


[8]
Crystalline NiAsPPtC at its relaxed geometry, computed with PBE-GGA.

a = 3.985 Å, b = 4.178 Å, c = 4.551 Å
α = 94.62°, β = 98.46°, γ = 103.74°
Fractional positions:
P (0.253, 0.159, 0.962)
Pt (0.715, 0.154, 0.656)
As (0.873, 0.681, 0.386)
Ni (0.460, 0.672, 0.960)
C (0.310, 0.944, 0.279)

Values from the calculation:
- DFT formation energy (meV per atom) = 185
- calculated volume (Å³ per atom) = 14.46


DOS at the Fermi energy values (in states/eV/cell) by entry order: 3.069 1.599 3.048 2.184 4.656 1.084 1.875 1.614.
Final energy values (in eV/atom) by entry order: -6.035 -5.970 -5.928 -6.076 -6.009 -6.030 -6.018 -6.036.
Total moment values (in μB per formula unit) by entry order: 0.000 0.000 0.000 0.000 0.000 0.000 0.000 0.000.